ZrTlCu2 after structural relaxation. Source: Alexandria via LeMat-Bulk, functional PBE.

Calculated values
SG: P4/mmm
DFT formation energy: 0.098 eV per atom
total energy: -4.6790 eV/atom

Cell lengths 4.3433, 4.3395, 3.8078 Å; angles 90.00, 90.00, 90.00 degrees
Atoms (fractional coordinates):
Cu1 0.0000 0.0000 0.0000
Cu2 0.5000 0.5000 0.0000
Tl1 0.5000 0.0000 0.5000
Zr1 0.0000 0.5000 0.5000